The following is a DFT calculation (PBE-GGA) of a relaxed structure of PaAs3O12.

a = 9.351 Å, b = 9.351 Å, c = 9.772 Å
α = 61.41°, β = 61.41°, γ = 60.00°
Positions (direct):
O (0.681, 0.580, 0.835)
O (0.119, 0.282, 0.682)
O (0.813, 0.209, 0.984)
O (0.080, 0.181, 0.335)
O (0.181, 0.404, 0.335)
O (0.313, 0.494, 0.484)
O (0.782, 0.619, 0.182)
O (0.619, 0.417, 0.182)
O (0.494, 0.709, 0.484)
O (0.404, 0.080, 0.335)
O (0.955, 0.625, 0.487)
O (0.580, 0.904, 0.835)
O (0.994, 0.813, 0.984)
O (0.933, 0.955, 0.487)
O (0.904, 0.681, 0.835)
O (0.625, 0.933, 0.487)
O (0.917, 0.119, 0.682)
O (0.709, 0.313, 0.484)
O (0.209, 0.994, 0.984)
O (0.282, 0.917, 0.682)
O (0.125, 0.455, 0.987)
O (0.433, 0.125, 0.987)
O (0.455, 0.433, 0.987)
O (0.417, 0.782, 0.182)
Pa (0.552, 0.552, 0.343)
Pa (0.052, 0.052, 0.843)
As (0.402, 0.953, 0.002)
As (0.953, 0.644, 0.002)
As (0.644, 0.402, 0.002)
As (0.144, 0.453, 0.502)
As (0.902, 0.144, 0.502)
As (0.453, 0.902, 0.502)

Values from the calculation:
For the energy, the calculation gives -101.466 eV per formula unit. The value obtained for the spin magnetization is 8.0 μB/cell. The value obtained for the density of states at the Fermi level is 7.351 states/eV/f.u. The formation energy (no corrections) comes out at -111.7 kJ per mole of atoms.

The following is a DFT calculation (PBE-GGA) of a relaxed structure of PaAsO2.

a = 4.050 Å, b = 4.050 Å, c = 5.056 Å
α = 66.39°, β = 66.39°, γ = 60.00°
Positions (direct):
O (0.157, 0.157, 0.528)
O (0.843, 0.843, 0.472)
As (0.000, 0.000, 0.000)
Pa (0.500, 0.500, 0.500)

Values from the calculation:
For the energy, the calculation gives -32.185 eV per formula unit. The value obtained for the spin magnetization is 0.1 μB/cell. The formation energy (no corrections) comes out at -195.9 kJ per mole of atoms.

The following is a DFT calculation (PBE-GGA) of a relaxed structure of PaAsO5.

a = 5.928 Å, b = 5.928 Å, c = 8.202 Å
α = 109.69°, β = 109.70°, γ = 91.77°
Positions (direct):
O (0.825, 0.289, 0.648)
O (0.741, 0.742, 0.417)
O (0.211, 0.675, 0.852)
O (0.758, 0.759, 0.083)
O (0.555, 0.945, 0.750)
O (0.259, 0.258, 0.583)
O (0.789, 0.325, 0.148)
O (0.175, 0.711, 0.352)
O (0.242, 0.241, 0.917)
O (0.445, 0.055, 0.250)
Pa (0.500, 0.000, 0.500)
Pa (0.500, 0.000, 0.000)
As (0.133, 0.367, 0.750)
As (0.867, 0.633, 0.250)

Values from the calculation:
For the energy, the calculation gives -55.904 eV per formula unit. The value obtained for the spin magnetization is 0.0 μB/cell. The value obtained for the density of states at the Fermi level is 0.000 states/eV/f.u. The formation energy (no corrections) comes out at -233.9 kJ per mole of atoms.

The following is a DFT calculation (PBE-GGA) of a relaxed structure of PaAs3O7.

a = 5.612 Å, b = 5.612 Å, c = 5.612 Å
α = 86.28°, β = 86.28°, γ = 86.28°
Positions (direct):
Pa (0.933, 0.933, 0.933)
O (0.118, 0.118, 0.118)
O (0.601, 0.216, 0.216)
O (0.216, 0.216, 0.601)
O (0.679, 0.078, 0.679)
O (0.078, 0.679, 0.679)
O (0.216, 0.601, 0.216)
O (0.679, 0.679, 0.078)
As (0.463, 0.023, 0.463)
As (0.463, 0.463, 0.023)
As (0.023, 0.463, 0.463)

Values from the calculation:
For the energy, the calculation gives -78.119 eV per formula unit. The value obtained for the spin magnetization is 0.0 μB/cell. The value obtained for the density of states at the Fermi level is 0.000 states/eV/f.u. The formation energy (no corrections) comes out at -175.1 kJ per mole of atoms.

The following is a DFT calculation (PBE-GGA) of a relaxed structure of PaAs4O12.

a = 7.273 Å, b = 7.273 Å, c = 7.274 Å
α = 113.77°, β = 113.91°, γ = 101.05°
Positions (direct):
O (0.157, 0.974, 0.632)
O (0.170, 0.332, 0.560)
O (0.962, 0.254, 0.795)
O (0.342, 0.525, 0.368)
O (0.667, 0.458, 0.705)
O (0.459, 0.167, 0.205)
O (0.111, 0.670, 0.838)
O (0.773, 0.611, 0.440)
O (0.024, 0.657, 0.183)
O (0.474, 0.841, 0.817)
O (0.832, 0.273, 0.162)
O (0.753, 0.961, 0.295)
Pa (0.112, 0.612, 0.500)
As (0.559, 0.454, 0.431)
As (0.024, 0.128, 0.569)
As (0.627, 0.059, 0.104)
As (0.955, 0.523, 0.896)

Values from the calculation:
For the energy, the calculation gives -113.862 eV per formula unit. The value obtained for the spin magnetization is 0.0 μB/cell. The value obtained for the density of states at the Fermi level is 6.576 states/eV/f.u. The formation energy (no corrections) comes out at -149.1 kJ per mole of atoms.

The following is a DFT calculation (PBE-GGA) of a relaxed structure of Pa2AsO6.

a = 5.388 Å, b = 5.543 Å, c = 10.523 Å
α = 90.00°, β = 95.23°, γ = 90.00°
Positions (direct):
O (0.251, 0.181, 0.298)
O (0.720, 0.129, 0.504)
O (0.780, 0.629, 0.996)
O (0.159, 0.251, 0.662)
O (0.373, 0.800, 0.511)
O (0.127, 0.300, 0.989)
O (0.341, 0.751, 0.838)
O (0.734, 0.133, 0.194)
O (0.249, 0.681, 0.202)
O (0.766, 0.633, 0.306)
O (0.825, 0.751, 0.720)
O (0.675, 0.251, 0.780)
As (0.960, 0.361, 0.519)
As (0.540, 0.861, 0.981)
Pa (0.502, 0.985, 0.670)
Pa (0.512, 0.910, 0.320)
Pa (0.988, 0.410, 0.180)
Pa (0.998, 0.485, 0.830)

Values from the calculation:
For the energy, the calculation gives -78.749 eV per formula unit. The value obtained for the spin magnetization is 2.0 μB/cell. The formation energy (no corrections) comes out at -271.9 kJ per mole of atoms.

The following is a DFT calculation (PBE-GGA) of a relaxed structure of PaAs2PbO8.

a = 5.713 Å, b = 5.713 Å, c = 7.394 Å
α = 90.00°, β = 90.00°, γ = 120.00°
Positions (direct):
O (0.829, 0.171, 0.201)
O (0.171, 0.829, 0.799)
O (0.658, 0.829, 0.799)
O (0.829, 0.658, 0.201)
O (0.667, 0.333, 0.516)
O (0.171, 0.342, 0.799)
O (0.342, 0.171, 0.201)
O (0.333, 0.667, 0.484)
Pb (0.000, 0.000, 0.500)
As (0.667, 0.333, 0.289)
As (0.333, 0.667, 0.711)
Pa (0.000, 0.000, 0.000)

Values from the calculation:
For the energy, the calculation gives -83.359 eV per formula unit. The value obtained for the spin magnetization is 1.0 μB/cell. The value obtained for the density of states at the Fermi level is 2.963 states/eV/f.u. The formation energy (no corrections) comes out at -170.4 kJ per mole of atoms.

The following is a DFT calculation (PBE-GGA) of a relaxed structure of PaAsPb2O6.

a = 4.296 Å, b = 4.296 Å, c = 8.599 Å
α = 90.00°, β = 90.00°, γ = 90.00°
Positions (direct):
O (0.500, 0.000, 0.000)
O (0.000, 0.500, 0.500)
O (0.500, 0.500, 0.255)
O (0.000, 0.500, 0.000)
O (0.500, 0.500, 0.745)
O (0.500, 0.000, 0.500)
Pb (0.000, 0.000, 0.700)
Pb (0.000, 0.000, 0.300)
As (0.500, 0.500, 0.500)
Pa (0.500, 0.500, 0.000)

Values from the calculation:
For the energy, the calculation gives -69.666 eV per formula unit. The value obtained for the spin magnetization is 0.0 μB/cell. The value obtained for the density of states at the Fermi level is 0.615 states/eV/f.u. The formation energy (no corrections) comes out at -177.1 kJ per mole of atoms.

The following is a DFT calculation (PBE-GGA) of a relaxed structure of PaAsPdO6.

a = 5.445 Å, b = 5.445 Å, c = 8.974 Å
α = 90.00°, β = 90.00°, γ = 120.00°
Positions (direct):
Pd (0.000, 0.000, 0.000)
Pd (0.000, 0.000, 0.500)
O (0.380, 0.336, 0.366)
O (0.664, 0.620, 0.134)
O (0.336, 0.956, 0.634)
O (0.336, 0.380, 0.866)
O (0.956, 0.336, 0.134)
O (0.044, 0.380, 0.634)
O (0.620, 0.956, 0.866)
O (0.956, 0.620, 0.366)
O (0.620, 0.664, 0.634)
O (0.380, 0.044, 0.134)
O (0.664, 0.044, 0.366)
O (0.044, 0.664, 0.866)
As (0.333, 0.667, 0.750)
As (0.667, 0.333, 0.250)
Pa (0.333, 0.667, 0.250)
Pa (0.667, 0.333, 0.750)

Values from the calculation:
For the energy, the calculation gives -64.172 eV per formula unit. The value obtained for the spin magnetization is 4.0 μB/cell. The formation energy (no corrections) comes out at -161.7 kJ per mole of atoms.

The following is a DFT calculation (PBE-GGA) of a relaxed structure of PaAs2PdO8.

a = 5.731 Å, b = 5.731 Å, c = 6.574 Å
α = 90.00°, β = 90.00°, γ = 120.00°
Positions (direct):
O (0.330, 0.165, 0.263)
O (0.670, 0.835, 0.737)
O (0.165, 0.330, 0.737)
O (0.667, 0.333, 0.599)
O (0.333, 0.667, 0.401)
O (0.835, 0.670, 0.263)
O (0.835, 0.165, 0.263)
O (0.165, 0.835, 0.737)
Pa (0.000, 0.000, 0.500)
As (0.667, 0.333, 0.345)
As (0.333, 0.667, 0.655)
Pd (0.000, 0.000, 0.000)

Values from the calculation:
For the energy, the calculation gives -81.245 eV per formula unit. The value obtained for the spin magnetization is 1.0 μB/cell. The value obtained for the density of states at the Fermi level is 5.215 states/eV/f.u. The formation energy (no corrections) comes out at -141.4 kJ per mole of atoms.

The following is a DFT calculation (PBE-GGA) of a relaxed structure of PaAsPdO.

a = 3.957 Å, b = 3.957 Å, c = 8.295 Å
α = 90.00°, β = 90.00°, γ = 90.00°
Positions (direct):
Pa (0.000, 0.500, 0.340)
Pa (0.500, 0.000, 0.660)
Pd (0.500, 0.500, 0.000)
Pd (0.000, 0.000, 0.000)
O (0.000, 0.000, 0.500)
O (0.500, 0.500, 0.500)
As (0.000, 0.500, 0.800)
As (0.500, 0.000, 0.200)

Values from the calculation:
For the energy, the calculation gives -31.623 eV per formula unit. The value obtained for the spin magnetization is 0.0 μB/cell. The value obtained for the density of states at the Fermi level is 1.396 states/eV/f.u. The formation energy (no corrections) comes out at -176.7 kJ per mole of atoms.

The following is a DFT calculation (PBE-GGA) of a relaxed structure of Pm2PaAsO8.

a = 5.067 Å, b = 5.069 Å, c = 6.811 Å
α = 90.00°, β = 90.00°, γ = 91.88°
Positions (direct):
O (0.827, 0.174, 0.220)
O (0.299, 0.296, 0.500)
O (0.258, 0.257, 0.000)
O (0.173, 0.826, 0.780)
O (0.701, 0.704, 0.500)
O (0.827, 0.174, 0.780)
O (0.742, 0.743, 0.000)
O (0.173, 0.826, 0.220)
Pm (0.500, 0.500, 0.235)
Pm (0.500, 0.500, 0.765)
Pa (0.000, 0.000, 0.500)
As (0.000, 0.000, 0.000)

Values from the calculation:
For the energy, the calculation gives -96.149 eV per formula unit. The value obtained for the spin magnetization is 0.0 μB/cell. The value obtained for the density of states at the Fermi level is 0.000 states/eV/f.u. The formation energy (no corrections) comes out at -264.0 kJ per mole of atoms.

> energy of number 12 (Pm2PaAsO8)?

-96.149 eV per formula unit

> What is the formula in the twelfth record?

Pm2PaAsO8